The following is a GGA-PBE calculation of a geometry-optimized Sr4AsAu structure, from Alexandria.

Unit cell a=6.816 b=6.816 c=6.816 alpha=60.00 beta=60.00 gamma=60.00
Positions (direct):
1 Sr 0.124 0.124 0.124
2 Sr 0.124 0.124 0.627
3 Sr 0.124 0.627 0.124
4 Sr 0.627 0.124 0.124
5 As 0.750 0.750 0.750
6 Au 0.500 0.500 0.500

## Properties
ΔH_f (0 K): 0.343 eV/atom